a) Crystalline AlFe2Co2 at its relaxed geometry, computed with GGA-PBE.

POSCAR file:
```
AlFe2Co2
1.0
4.005 0.000 0.000
-2.002 3.475 0.000
-1.993 -1.153 4.174
Al Fe Co
1 2 2
Cartesian
0.000 0.000 0.000
0.008 0.003 2.554
0.002 2.319 1.621
-1.995 1.162 3.318
2.005 1.160 0.856
```

Values from the calculation:
Magnetic moment   7.61 μB per formula unit
Density of states at the Fermi level   0.51 states/eV per atom

b) Crystalline AlFe2Co2 at its relaxed geometry, computed with GGA-PBE.

POSCAR file:
```
AlFe2Co2
1.0
6.666 0.000 0.000
0.000 6.666 0.000
0.000 0.000 2.764
Al Fe Co
2 4 4
Cartesian
0.000 0.000 0.000
3.333 3.333 0.000
1.088 2.245 1.382
2.245 5.578 1.382
4.421 1.088 1.382
5.578 4.421 1.382
0.888 4.221 0.000
2.445 0.888 0.000
4.221 5.778 0.000
5.778 2.445 0.000
```

Values from the calculation:
Magnetic moment   7.47 μB per formula unit
Density of states at the Fermi level   0.59 states/eV per atom

c) Crystalline AlFe2Co2 at its relaxed geometry, computed with GGA-PBE.

POSCAR file:
```
AlFe2Co2
1.0
6.784 0.000 0.000
0.000 6.784 0.000
0.000 0.000 2.683
Al Fe Co
2 4 4
Cartesian
0.000 0.000 0.000
3.392 3.392 0.000
0.860 2.532 0.000
2.532 5.924 0.000
4.251 0.860 0.000
5.924 4.251 0.000
1.154 4.546 1.342
2.238 1.154 1.342
4.546 5.629 1.342
5.629 2.238 1.342
```

Values from the calculation:
Magnetic moment   7.55 μB per formula unit
Density of states at the Fermi level   0.92 states/eV per atom

What should be chosen as the least stable of them? Choose c).

a) Crystalline AlFeCo4 at its relaxed geometry, computed with GGA-PBE.

POSCAR file:
```
AlFeCo4
1.0
0.000 3.298 3.298
3.298 0.000 3.298
3.298 3.298 0.000
Al Fe Co
1 1 4
Cartesian
0.000 0.000 0.000
1.649 1.649 1.649
4.123 2.472 2.472
2.472 4.123 2.472
2.472 2.472 4.123
4.123 4.123 4.123
```

Values from the calculation:
Magnetic moment   8.88 μB per formula unit
Density of states at the Fermi level   1.09 states/eV per atom

b) Crystalline AlFeCo4 at its relaxed geometry, computed with GGA-PBE.

POSCAR file:
```
AlFeCo4
1.0
4.497 -1.436 0.000
4.497 1.436 0.000
-1.745 0.000 5.318
Al Fe Co
1 1 4
Cartesian
0.000 0.000 0.000
-0.873 0.000 2.659
2.702 0.000 0.906
1.842 0.000 3.520
5.406 0.000 1.798
4.546 0.000 4.413
```

Values from the calculation:
Magnetic moment   8.59 μB per formula unit
Density of states at the Fermi level   0.92 states/eV per atom

What should be chosen as the least stable of them? Choose a).